Record 1
The following is a DFT calculation (PBE) of a relaxed Cs2K3As2 crystal.

a b c (Å): 7.066 7.066 9.544
angles (deg): 108.92 108.92 45.35
Sites, in units of the cell vectors:
1 Cs 0.152 0.152 0.321
2 Cs 0.848 0.848 0.679
3 K 0.353 0.353 0.069
4 K 0.500 0.500 0.500
5 K 0.647 0.647 0.931
6 As 0.152 0.152 0.722
7 As 0.848 0.848 0.278

Results
**DOS at the Fermi energy**: 6.7 states/eV/cell
**Symmetry**: No. 12
**Crystal system**: monoclinic
**Formation enthalpy at 0 K**: -0.250 eV per atom

***

Record 2
The following is a DFT calculation (PBE) of a relaxed LaPmY2 crystal.

a b c (Å): 6.237 6.237 3.669
angles (deg): 90.00 90.00 108.00
Sites, in units of the cell vectors:
1 La 0.000 0.000 0.000
2 Pm 0.500 0.500 0.000
3 Y 0.000 0.500 0.500
4 Y 0.500 0.000 0.500

Results
**DOS at the Fermi energy**: 6.5 states/eV/cell
**Symmetry**: No. 65
**Crystal system**: orthorhombic
**Excess energy over the best structure of this formula in the dataset**: 3.8 kJ/mol of formula units
**Formation enthalpy at 0 K**: 0.020 eV per atom

***

Record 3
The following is a DFT calculation (PBE) of a relaxed NaDyZnTe3 crystal.

a b c (Å): 9.019 4.348 10.462
angles (deg): 90.00 106.04 90.00
Sites, in units of the cell vectors:
1 Na 0.199 0.250 0.203
2 Na 0.801 0.750 0.797
3 Dy 0.325 0.750 0.853
4 Dy 0.675 0.250 0.147
5 Zn 0.083 0.250 0.600
6 Zn 0.917 0.750 0.400
7 Te 0.081 0.250 0.854
8 Te 0.228 0.750 0.535
9 Te 0.440 0.750 0.160
10 Te 0.560 0.250 0.840
11 Te 0.772 0.250 0.465
12 Te 0.919 0.750 0.146

Results
**Symmetry**: No. 11
**Crystal system**: monoclinic
**Energy**: -3.749 eV/atom

***

Record 4
The following is a DFT calculation (PBE) of a relaxed MgMnReAg2 crystal.

a b c (Å): 4.883 4.883 4.369
angles (deg): 90.00 90.00 90.00
Sites, in units of the cell vectors:
1 Mg 0.000 0.000 0.000
2 Mn 0.500 0.500 0.500
3 Re 0.500 0.500 0.000
4 Ag 0.000 0.500 0.500
5 Ag 0.500 0.000 0.500

Results
**DOS at the Fermi energy**: 4.9 states/eV/cell
**Symmetry**: No. 123
**Crystal system**: tetragonal
**Formation enthalpy at 0 K**: 1.084 eV per atom

***

Record 5
The following is a DFT calculation (PBE) of a relaxed LaRu2Pt crystal.

a b c (Å): 2.985 4.594 5.462
angles (deg): 90.00 101.36 90.00
Sites, in units of the cell vectors:
1 La 0.000 0.000 0.000
2 Ru 0.230 0.500 0.644
3 Ru 0.579 0.000 0.528
4 Pt 0.565 0.500 0.225

Results
**DOS at the Fermi energy**: 4.5 states/eV/cell
**Symmetry**: No. 6
**Crystal system**: monoclinic
**Excess energy over the best structure of this formula in the dataset**: 57.4 kJ/mol of formula units
**Formation enthalpy at 0 K**: -0.015 eV per atom

***

Record 6
The following is a DFT calculation (PBE) of a relaxed AcSnPb crystal.

a b c (Å): 5.359 5.359 4.091
angles (deg): 90.00 90.00 120.00
Sites, in units of the cell vectors:
1 Ac 0.000 0.000 0.000
2 Sn 0.333 0.667 0.495
3 Pb 0.667 0.333 0.504

Results
**DOS at the Fermi energy**: 1.9 states/eV/cell
**Symmetry**: No. 156
**Crystal system**: trigonal
**Excess energy over the best structure of this formula in the dataset**: 4.7 kJ/mol of formula units
**Formation enthalpy at 0 K**: -0.413 eV per atom

***

Record 7
The following is a DFT calculation (PBE) of a relaxed La2Nd2Se5 crystal.

a b c (Å): 8.560 8.560 7.993
angles (deg): 90.00 90.00 55.70
Sites, in units of the cell vectors:
1 La 0.197 0.197 0.000
2 La 0.303 0.303 0.500
3 La 0.697 0.697 0.500
4 La 0.803 0.803 0.000
5 Nd 0.152 0.848 0.657
6 Nd 0.348 0.652 0.157
7 Nd 0.652 0.348 0.843
8 Nd 0.848 0.152 0.343
9 Se 0.000 0.000 0.000
10 Se 0.020 0.705 0.346
11 Se 0.205 0.520 0.846
12 Se 0.295 0.980 0.346
13 Se 0.480 0.795 0.846
14 Se 0.500 0.500 0.500
15 Se 0.520 0.205 0.154
16 Se 0.705 0.020 0.654
17 Se 0.795 0.480 0.154
18 Se 0.980 0.295 0.654

Results
**DOS at the Fermi energy**: 14.8 states/eV/cell
**Symmetry**: No. 64
**Crystal system**: orthorhombic
**Energy**: -5.972 eV/atom

***

Record 8
The following is a DFT calculation (PBE) of a relaxed Fe2Cu3Sn6Se16 crystal.

a b c (Å): 7.693 7.733 10.927
angles (deg): 90.00 90.71 90.00
Sites, in units of the cell vectors:
1 Fe 0.000 0.000 0.000
2 Fe 0.489 0.500 0.508
3 Cu 0.239 0.000 0.624
4 Cu 0.257 0.500 0.887
5 Cu 0.756 0.000 0.382
6 Sn 0.242 0.259 0.255
7 Sn 0.242 0.741 0.255
8 Sn 0.511 0.000 0.009
9 Sn 0.749 0.250 0.758
10 Sn 0.749 0.750 0.758
11 Sn 0.990 0.500 0.498
12 Se 0.002 0.000 0.775
13 Se 0.003 0.500 0.753
14 Se 0.233 0.228 0.005
15 Se 0.233 0.772 0.005
16 Se 0.264 0.272 0.507
17 Se 0.264 0.728 0.507
18 Se 0.494 0.000 0.755
19 Se 0.495 0.000 0.259
20 Se 0.495 0.500 0.288
21 Se 0.497 0.500 0.736
22 Se 0.719 0.271 0.506
23 Se 0.719 0.729 0.506
24 Se 0.784 0.224 0.005
25 Se 0.784 0.776 0.005
26 Se 0.981 0.500 0.248
27 Se 0.997 0.000 0.231

Results
**DOS at the Fermi energy**: 15.2 states/eV/cell
**Symmetry**: No. 6
**Crystal system**: monoclinic
**Energy**: -4.344 eV/atom

***

Record 9
The following is a DFT calculation (PBE) of a relaxed BAs3I crystal.

a b c (Å): 5.393 5.393 5.393
angles (deg): 90.00 90.00 90.00
Sites, in units of the cell vectors:
1 B 0.000 0.000 0.000
2 As 0.000 0.500 0.500
3 As 0.500 0.000 0.500
4 As 0.500 0.500 0.000
5 I 0.500 0.500 0.500

Results
**DOS at the Fermi energy**: 6.3 states/eV/cell
**Symmetry**: No. 221
**Crystal system**: cubic
**Excess energy over the best structure of this formula in the dataset**: 618.2 kJ/mol of formula units

***

Record 10
The following is a DFT calculation (PBE) of a relaxed Cs2NaTmI6 crystal.

a b c (Å): 8.719 12.333 8.721
angles (deg): 90.00 90.00 90.00
Sites, in units of the cell vectors:
1 Cs 0.250 0.000 0.250
2 Cs 0.250 0.500 0.250
3 Cs 0.750 0.000 0.750
4 Cs 0.750 0.500 0.750
5 Na 0.250 0.250 0.750
6 Na 0.750 0.750 0.250
7 Tm 0.250 0.750 0.749
8 Tm 0.750 0.250 0.251
9 I 0.007 0.750 0.507
10 I 0.007 0.750 0.992
11 I 0.250 0.507 0.749
12 I 0.250 0.993 0.749
13 I 0.493 0.750 0.507
14 I 0.493 0.750 0.992
15 I 0.507 0.250 0.008
16 I 0.507 0.250 0.493
17 I 0.750 0.007 0.251
18 I 0.750 0.493 0.251
19 I 0.993 0.250 0.008
20 I 0.993 0.250 0.493

Results
**DOS at the Fermi energy**: 0.0 states/eV/cell
**Symmetry**: No. 59
**Crystal system**: orthorhombic
**Energy**: -3.121 eV/atom

***

Record 11
The following is a DFT calculation (PBE) of a relaxed TlAg2Os crystal.

a b c (Å): 5.864 5.864 5.864
angles (deg): 151.72 128.24 60.03
Sites, in units of the cell vectors:
1 Tl 0.000 0.000 0.000
2 Ag 0.484 0.484 0.000
3 Ag 0.736 0.236 0.500
4 Os 0.244 0.744 0.500

Results
**DOS at the Fermi energy**: 3.0 states/eV/cell
**Symmetry**: No. 44
**Crystal system**: orthorhombic
**Excess energy over the best structure of this formula in the dataset**: 56.8 kJ/mol of formula units
**Formation enthalpy at 0 K**: 0.782 eV per atom

***

Record 12
The following is a DFT calculation (PBE) of a relaxed Rb3Na2TmF9 crystal.

a b c (Å): 6.253 6.253 7.912
angles (deg): 90.00 90.00 120.00
Sites, in units of the cell vectors:
1 Rb 0.000 0.000 0.000
2 Rb 0.333 0.667 0.690
3 Rb 0.667 0.333 0.310
4 Na 0.333 0.667 0.183
5 Na 0.667 0.333 0.817
6 Tm 0.000 0.000 0.500
7 F 0.000 0.500 0.000
8 F 0.160 0.320 0.342
9 F 0.160 0.840 0.342
10 F 0.320 0.160 0.658
11 F 0.500 0.000 0.000
12 F 0.500 0.500 0.000
13 F 0.680 0.840 0.342
14 F 0.840 0.160 0.658
15 F 0.840 0.680 0.658

Results
**DOS at the Fermi energy**: 17.5 states/eV/cell
**Symmetry**: No. 164
**Crystal system**: trigonal
**Energy**: -4.751 eV/atom